VASP calculation (PBE) on a relaxed Na12SrCd6 crystal.

Values from the calculation:
- Fermi-level density of states (states/eV per cell) = 8.46
- spin magnetization (μB/f.u.) = 0.00
- total energy (eV per cell) = -22.703
- V (Å³/atom) = 33.2
- formation energy from the elements (eV per atom) = 0.016

Cell lengths 8.8415, 8.8415, 8.8415 Å; angles 102.70, 102.70, 102.70 degrees
Fractional positions:
Na (0.8886, 0.1114, 0.5000)
Na (0.8304, 0.5605, 0.5605)
Na (0.5605, 0.5605, 0.8304)
Na (0.4395, 0.1696, 0.4395)
Na (0.4395, 0.4395, 0.1696)
Na (0.1696, 0.4395, 0.4395)
Na (0.1114, 0.5000, 0.8886)
Na (0.5000, 0.8886, 0.1114)
Na (0.1114, 0.8886, 0.5000)
Na (0.8886, 0.5000, 0.1114)
Na (0.5000, 0.1114, 0.8886)
Na (0.5605, 0.8304, 0.5605)
Sr (0.0000, 0.0000, 0.0000)
Cd (0.7331, 0.2432, 0.2432)
Cd (0.2432, 0.2432, 0.7331)
Cd (0.2432, 0.7331, 0.2432)
Cd (0.7568, 0.7568, 0.2669)
Cd (0.2669, 0.7568, 0.7568)
Cd (0.7568, 0.2669, 0.7568)

VASP calculation (PBE) on a relaxed TlAsBr2 crystal.

Values from the calculation:
- Fermi-level density of states (states/eV per cell) = 1.56
- spin magnetization (μB/f.u.) = 0.00
- total energy (eV per cell) = -10.873
- V (Å³/atom) = 31.1
- E above lowest polymorph (meV/atom) = 134.3

Cell lengths 5.4580, 3.7437, 6.3720 Å; angles 90.00, 107.44, 90.00 degrees
Fractional positions:
Tl (0.9392, 0.0000, 0.3373)
As (0.0007, 0.0000, 0.8648)
Br (0.5507, 0.0000, 0.7300)
Br (0.4871, 0.5000, 0.2131)

- Look up the total energy of the first one.
  -22.703 eV per cell

- Which of these has the lowest total energy?
  Na12SrCd6

- What is the total energy in the second record?
  -10.873 eV per cell